[1]
This record from Alexandria via LeMat-Bulk describes crystalline AcPm2Sm6Dy at its relaxed geometry. The functional is PBE.

```
AcPm2Sm6Dy
1.0
-8.269 -5.087 0.952
4.412 -6.961 -3.799
0.836 1.239 8.951
Ac Pm Sm Dy
2 4 12 2
Cartesian
2.259 -8.035 -3.254 Ac
-5.280 -2.774 9.358 Ac
0.350 -7.035 3.523 Pm
1.177 -2.179 0.631 Pm
-3.371 -3.774 2.582 Pm
-4.197 -8.630 5.473 Pm
0.740 -0.266 6.257 Sm
-1.836 -2.933 7.249 Sm
-3.761 -10.543 -0.152 Sm
-1.184 -7.876 -1.145 Sm
2.114 -7.898 0.478 Sm
0.952 -4.845 -1.812 Sm
-5.135 -2.911 5.627 Sm
-3.973 -5.964 7.916 Sm
2.583 -4.927 1.861 Sm
-0.705 -5.090 1.043 Sm
-5.604 -5.882 4.243 Sm
-2.315 -5.719 5.061 Sm
0.238 -3.402 3.950 Dy
-3.259 -7.407 2.154 Dy
```

Output
Its energy of formation is 0.1207 eV per atom. For the size of the total moment, the calculation gives 0.00 μB/cell. The space group is C2/c, No. 15. Its calculated density is 7.46 g/cm3.



[2]
This record from Alexandria via LeMat-Bulk describes crystalline AcPm2SmDy4 at its relaxed geometry. The functional is PBE.

```
AcPm2SmDy4
1.0
-3.967 8.265 -3.043
1.776 -2.242 -9.226
-3.711 -7.213 8.809
Ac Pm Sm Dy
2 4 2 8
Cartesian
0.888 -1.121 -4.613 Ac
-4.935 3.538 -3.251 Ac
-1.983 4.132 -1.521 Pm
-3.839 0.526 2.883 Pm
-1.856 -3.606 4.404 Pm
-1.096 3.012 -6.134 Pm
-2.951 -0.595 -1.730 Sm
-7.678 1.052 5.766 Sm
0.267 0.361 -7.730 Dy
-4.305 2.040 -0.144 Dy
-1.597 -3.229 -3.316 Dy
-6.170 -1.551 4.270 Dy
-5.308 -2.777 -0.451 Dy
-3.452 0.820 -4.841 Dy
-2.450 -2.010 1.380 Dy
-0.595 1.587 -3.009 Dy
```

Output
Its energy of formation is 0.4247 eV per atom. For the size of the total moment, the calculation gives 3.45 μB/cell. The space group is Imma, No. 74. Its calculated density is 7.81 g/cm3.



[3]
This record from Alexandria via LeMat-Bulk describes crystalline AcPmSmDy2 at its relaxed geometry. The functional is PBE.

```
AcPmSmDy2
1.0
-3.925 4.412 2.648
-4.590 -1.363 -4.532
-1.053 -5.437 7.497
Ac Pm Sm Dy
2 2 2 4
Cartesian
-4.330 -1.505 0.043 Ac
-5.237 -0.883 5.571 Ac
-5.605 -3.835 2.035 Pm
-3.963 1.447 3.578 Pm
-7.108 -0.789 2.641 Sm
-2.459 -1.599 2.972 Sm
-3.078 1.875 0.223 Dy
-3.475 -1.032 -3.431 Dy
-5.437 1.174 -2.106 Dy
-1.116 -0.331 -1.101 Dy
```

Output
Its energy of formation is 0.3613 eV per atom. For the size of the total moment, the calculation gives 0.00 μB/cell. The space group is Cmcm, No. 63. Its calculated density is 7.57 g/cm3.



[4]
This record from Alexandria via LeMat-Bulk describes crystalline AcPmDySn at its relaxed geometry. The functional is PBE.

```
AcPmDySn
1.0
5.601 0.000 0.000
2.800 4.850 0.000
2.800 1.617 4.573
Ac Pm Sn Dy
1 1 1 1
Cartesian
2.800 1.617 1.143 Ac
5.601 3.233 2.286 Pm
8.401 4.850 3.430 Sn
0.000 0.000 0.000 Dy
```

Output
Its energy of formation is -0.1878 eV per atom. For the size of the total moment, the calculation gives 0.00 μB/cell. The space group is F-43m, No. 216. Its calculated density is 8.73 g/cm3.



[5]
This record from Alexandria via LeMat-Bulk describes crystalline AcTb6PmDy2 at its relaxed geometry. The functional is PBE.

```
AcTb6PmDy2
1.0
9.170 -2.010 -2.086
0.966 8.657 -2.065
0.966 -2.384 8.574
Ac Tb Pm Dy
2 12 2 4
Cartesian
3.259 7.824 -2.268 Ac
7.844 -3.561 6.691 Ac
1.369 -0.816 6.044 Tb
5.148 -0.803 6.058 Tb
9.733 5.079 -1.621 Tb
5.954 5.065 -1.635 Tb
4.311 6.793 1.098 Tb
2.207 4.423 -1.362 Tb
6.792 -2.530 3.326 Tb
8.896 -0.160 5.785 Tb
2.238 4.743 2.499 Tb
4.280 2.946 0.635 Tb
8.865 -0.480 1.925 Tb
6.823 1.316 3.789 Tb
3.259 1.645 3.687 Pm
7.844 2.618 0.737 Pm
5.585 4.389 3.299 Dy
0.933 2.134 0.959 Dy
5.518 -0.126 1.125 Dy
10.170 2.129 3.465 Dy
```

Output
Its energy of formation is 0.1293 eV per atom. For the size of the total moment, the calculation gives 0.00 μB/cell. The space group is C2/c, No. 15. Its calculated density is 8.08 g/cm3.



[6]
This record from Alexandria via LeMat-Bulk describes crystalline AcTb6Pm2Dy at its relaxed geometry. The functional is PBE.

```
AcTb6Pm2Dy
1.0
9.199 -2.042 -2.119
0.956 8.680 -2.104
0.956 -2.424 8.596
Ac Tb Pm Dy
2 12 4 2
Cartesian
3.255 7.889 -2.363 Ac
7.855 -3.675 6.737 Ac
1.370 -0.781 6.012 Tb
5.141 -0.802 5.990 Tb
9.740 4.995 -1.639 Tb
5.969 5.016 -1.617 Tb
4.256 6.810 1.031 Tb
2.254 4.457 -1.411 Tb
6.853 -2.596 3.342 Tb
8.856 -0.243 5.784 Tb
2.229 4.730 2.519 Tb
4.282 2.893 0.612 Tb
8.881 -0.516 1.854 Tb
6.828 1.321 3.761 Tb
5.592 4.370 3.247 Pm
0.919 2.152 0.945 Pm
5.518 -0.156 1.126 Pm
10.191 2.062 3.428 Pm
3.255 1.623 3.675 Dy
7.855 2.591 0.698 Dy
```

Output
Its energy of formation is 0.1259 eV per atom. For the size of the total moment, the calculation gives 0.00 μB/cell. The space group is C2/c, No. 15. Its calculated density is 7.94 g/cm3.



[7]
This record from Alexandria via LeMat-Bulk describes crystalline AcTb4Pm2Dy at its relaxed geometry. The functional is PBE.

```
AcTb4Pm2Dy
1.0
5.159 0.000 0.000
0.000 4.975 1.277
0.000 2.435 11.193
Ac Tb Pm Dy
1 4 2 1
Cartesian
2.580 4.922 11.832 Ac
0.000 5.575 9.274 Tb
5.159 1.834 3.196 Tb
2.580 4.321 3.833 Tb
2.580 3.089 8.637 Tb
0.000 2.435 11.193 Pm
2.580 1.217 5.596 Pm
0.000 3.705 6.235 Dy
```

Output
Its energy of formation is 0.0324 eV per atom. For the size of the total moment, the calculation gives 0.00 μB/cell. The space group is Pmmm, No. 47. Its calculated density is 8.05 g/cm3.



[8]
This record from Alexandria via LeMat-Bulk describes crystalline AcTbPm6Dy2 at its relaxed geometry. The functional is PBE.

```
AcTbPm6Dy2
1.0
9.249 -2.113 -2.193
1.003 8.737 -2.071
1.003 -2.393 8.654
Ac Tb Pm Dy
2 2 12 4
Cartesian
3.316 7.896 -2.317 Ac
7.940 -3.665 6.708 Ac
3.316 1.658 3.693 Tb
7.940 2.573 0.698 Tb
1.385 -0.839 6.134 Pm
5.246 -0.873 6.098 Pm
9.870 5.070 -1.743 Pm
6.010 5.105 -1.707 Pm
4.372 6.903 1.100 Pm
2.260 4.444 -1.452 Pm
6.884 -2.672 3.291 Pm
8.996 -0.213 5.843 Pm
2.298 4.774 2.519 Pm
4.333 2.947 0.624 Pm
8.957 -0.542 1.872 Pm
6.923 1.284 3.768 Pm
5.675 4.361 3.304 Dy
0.956 2.148 1.007 Dy
5.581 -0.130 1.087 Dy
10.300 2.083 3.384 Dy
```

Output
Its energy of formation is 0.1211 eV per atom. For the size of the total moment, the calculation gives 0.00 μB/cell. The space group is C2/c, No. 15. Its calculated density is 7.49 g/cm3.



[9]
This record from Alexandria via LeMat-Bulk describes crystalline AcTb2Pm6Dy3 at its relaxed geometry. The functional is PBE.

```
AcTb2Pm6Dy3
1.0
6.302 -0.001 0.016
-3.150 5.458 0.016
-1.084 -1.878 11.848
Ac Tb Pm Dy
1 2 6 3
Cartesian
0.000 0.000 0.000 Ac
0.002 3.638 0.016 Tb
3.150 1.820 0.016 Tb
3.136 1.760 8.855 Pm
2.084 3.608 3.046 Pm
-1.068 1.821 3.026 Pm
-0.043 3.596 8.855 Pm
-0.016 -0.028 8.835 Pm
2.111 -0.016 3.026 Pm
-2.112 3.607 5.940 Dy
4.180 -0.027 5.940 Dy
1.034 1.790 5.940 Dy
```

Output
Its energy of formation is 0.0263 eV per atom. For the size of the total moment, the calculation gives 0.00 μB/cell. The space group is C2/m, No. 12. Its calculated density is 7.74 g/cm3.



[10]
This record from Alexandria via LeMat-Bulk describes crystalline AcTb6Pm3Dy2 at its relaxed geometry. The functional is PBE.

```
AcTb6Pm3Dy2
1.0
6.261 0.000 0.015
-3.129 5.424 0.015
-1.070 -1.852 11.779
Ac Tb Pm Dy
1 6 3 2
Cartesian
0.000 0.000 0.000 Ac
3.120 1.757 8.838 Tb
2.073 3.590 2.989 Tb
-1.057 1.814 2.971 Tb
-0.037 3.581 8.838 Tb
-0.011 -0.018 8.820 Tb
2.100 -0.009 2.971 Tb
-2.095 3.591 5.904 Pm
4.158 -0.020 5.904 Pm
1.031 1.786 5.904 Pm
0.001 3.616 0.015 Dy
3.132 1.808 0.015 Dy
```

Output
Its energy of formation is 0.0248 eV per atom. For the size of the total moment, the calculation gives 0.00 μB/cell. The space group is C2/m, No. 12. Its calculated density is 8.05 g/cm3.



[11]
This record from Alexandria via LeMat-Bulk describes crystalline AcTbPm2Dy5 at its relaxed geometry. The functional is PBE.

```
AcTbPm2Dy5
1.0
8.863 0.000 0.000
0.000 8.863 0.000
-4.432 -4.432 7.774
Ac Tb Pm Dy
2 2 4 10
Cartesian
0.000 0.000 3.887 Ac
4.432 4.432 3.887 Ac
0.000 4.432 3.887 Tb
4.432 0.000 3.887 Tb
1.030 3.401 0.000 Pm
5.462 1.030 0.000 Pm
3.401 7.833 0.000 Pm
7.833 5.462 0.000 Pm
7.036 2.605 2.055 Dy
2.605 -1.827 5.720 Dy
-2.605 1.827 5.720 Dy
-1.827 -2.605 5.720 Dy
1.827 2.605 5.720 Dy
6.258 7.036 2.055 Dy
2.605 1.827 2.055 Dy
1.827 6.258 2.055 Dy
4.432 4.432 0.000 Dy
0.000 0.000 0.000 Dy
```

Output
Its energy of formation is 0.2573 eV per atom. For the size of the total moment, the calculation gives 0.00 μB/cell. The space group is I4/mcm, No. 140. Its calculated density is 8.09 g/cm3.



[12]
This record from Alexandria via LeMat-Bulk describes crystalline AcTbPm2Dy at its relaxed geometry. The functional is PBE.

```
AcTbPm2Dy
1.0
7.326 0.000 0.000
0.000 8.473 0.000
0.000 -4.237 6.082
Ac Tb Pm Dy
2 2 4 2
Cartesian
1.832 4.237 3.101 Ac
5.495 0.000 2.982 Ac
1.832 0.000 0.549 Tb
5.495 4.237 5.534 Tb
3.663 2.592 0.000 Pm
0.000 5.881 0.000 Pm
3.663 5.881 0.000 Pm
0.000 2.592 0.000 Pm
5.495 4.237 2.414 Dy
1.832 0.000 3.668 Dy
```

Output
Its energy of formation is 0.3477 eV per atom. For the size of the total moment, the calculation gives 0.00 μB/cell. The space group is Cmcm, No. 63. Its calculated density is 7.37 g/cm3.



[13]
This record from Alexandria via LeMat-Bulk describes crystalline AcTb2Pm2Dy2 at its relaxed geometry. The functional is PBE.

```
AcTb2Pm2Dy2
1.0
5.146 0.000 0.000
-2.573 5.736 0.267
0.000 -1.546 8.041
Ac Tb Pm Dy
1 2 2 2
Cartesian
0.000 0.000 0.000 Ac
2.573 -0.253 5.756 Tb
0.000 4.443 2.552 Tb
0.000 0.965 3.554 Pm
2.573 3.225 4.753 Pm
2.573 2.244 1.297 Dy
0.000 1.946 7.011 Dy
```

Output
Its energy of formation is 0.0384 eV per atom. For the size of the total moment, the calculation gives 0.00 μB/cell. The space group is C2/m, No. 12. Its calculated density is 8.04 g/cm3.



[14]
This record from Alexandria via LeMat-Bulk describes crystalline AcTb6Pm2Dy3 at its relaxed geometry. The functional is PBE.

```
AcTb6Pm2Dy3
1.0
-1.355 0.906 6.037
1.779 -5.655 -1.990
11.076 4.374 0.749
Ac Tb Pm Dy
1 6 2 3
Cartesian
0.000 0.000 0.000 Ac
8.034 0.812 4.924 Tb
3.154 -2.442 3.228 Tb
3.467 -1.186 -0.128 Tb
9.085 -1.389 2.231 Tb
8.347 2.068 1.568 Tb
2.415 1.015 2.565 Tb
0.734 -3.467 0.687 Pm
-0.310 -1.281 3.360 Pm
6.794 -2.372 -0.275 Dy
4.707 1.998 5.071 Dy
5.750 -0.187 2.398 Dy
```

Output
Its energy of formation is 0.0282 eV per atom. For the size of the total moment, the calculation gives 0.00 μB/cell. The space group is C2/m, No. 12. Its calculated density is 8.17 g/cm3.



[15]
This record from Alexandria via LeMat-Bulk describes crystalline AcTb2PmDy4 at its relaxed geometry. The functional is PBE.

```
AcTb2PmDy4
1.0
12.085 -0.440 -3.118
0.217 7.228 -0.174
-8.690 -3.159 8.396
Ac Tb Pm Dy
2 4 2 8
Cartesian
0.108 3.614 -0.087 Ac
7.848 1.594 0.993 Ac
6.043 -0.220 -1.559 Tb
1.697 -1.800 2.639 Tb
-4.345 -1.580 4.198 Tb
6.151 3.394 -1.646 Tb
1.806 1.814 2.552 Pm
3.395 -3.599 5.278 Pm
3.206 5.321 -0.898 Dy
4.770 -0.119 1.791 Dy
-1.159 3.747 3.312 Dy
0.405 -1.693 6.002 Dy
9.197 5.100 -2.454 Dy
4.871 3.520 1.728 Dy
-1.260 0.108 3.375 Dy
-5.585 -1.472 7.558 Dy
```

Output
Its energy of formation is 0.0305 eV per atom. For the size of the total moment, the calculation gives 0.00 μB/cell. The space group is C2/m, No. 12. Its calculated density is 8.35 g/cm3.



[16]
This record from Alexandria via LeMat-Bulk describes crystalline AcTb2PmDy5 at its relaxed geometry. The functional is PBE.

```
AcTb2PmDy5
1.0
8.914 0.000 0.000
0.000 8.914 0.000
-4.457 -4.457 7.668
Ac Tb Pm Dy
2 4 2 10
Cartesian
0.000 0.000 3.834 Ac
4.457 4.457 3.834 Ac
1.025 3.431 0.000 Tb
5.482 1.025 0.000 Tb
3.431 7.888 0.000 Tb
7.888 5.482 0.000 Tb
0.000 4.457 3.834 Pm
4.457 0.000 3.834 Pm
7.113 2.656 1.962 Dy
2.656 -1.801 5.706 Dy
-2.656 1.801 5.706 Dy
-1.801 -2.656 5.706 Dy
1.801 2.656 5.706 Dy
6.258 7.113 1.962 Dy
2.656 1.801 1.962 Dy
1.801 6.258 1.962 Dy
4.457 4.457 0.000 Dy
0.000 0.000 0.000 Dy
```

Output
Its energy of formation is 0.2663 eV per atom. For the size of the total moment, the calculation gives 0.00 μB/cell. The space group is I4/mcm, No. 140. Its calculated density is 8.19 g/cm3.



[17]
This record from Alexandria via LeMat-Bulk describes crystalline Ac2TbPmDy at its relaxed geometry. The functional is PBE.

```
Ac2TbPmDy
1.0
6.721 0.000 0.000
0.000 8.844 1.616
0.000 -1.157 6.336
Ac Tb Pm Dy
4 2 2 2
Cartesian
4.769 5.348 5.887 Ac
4.769 1.760 5.232 Ac
1.952 5.927 2.720 Ac
1.952 2.338 2.064 Ac
1.212 3.554 5.560 Tb
5.509 4.133 2.392 Tb
3.906 -0.289 1.584 Pm
2.814 -0.868 4.752 Pm
0.000 0.000 0.000 Dy
0.000 -0.579 3.168 Dy
```

Output
Its energy of formation is 0.2728 eV per atom. For the size of the total moment, the calculation gives 0.00 μB/cell. The space group is Pmma, No. 51. Its calculated density is 7.85 g/cm3.



[18]
This record from Alexandria via LeMat-Bulk describes crystalline AcTb2Pm6Dy at its relaxed geometry. The functional is PBE.

```
AcTb2Pm6Dy
1.0
9.259 -2.071 -2.150
0.981 8.757 -2.093
0.981 -2.416 8.673
Ac Tb Pm Dy
2 4 12 2
Cartesian
3.296 7.941 -2.343 Ac
7.925 -3.672 6.774 Ac
5.649 4.388 3.298 Tb
0.943 2.172 0.999 Tb
5.572 -0.118 1.133 Tb
10.278 2.097 3.432 Tb
1.371 -0.822 6.142 Pm
5.221 -0.863 6.099 Pm
9.850 5.092 -1.712 Pm
6.000 5.133 -1.669 Pm
4.323 6.931 1.086 Pm
2.269 4.477 -1.461 Pm
6.898 -2.661 3.345 Pm
8.952 -0.207 5.892 Pm
2.273 4.788 2.537 Pm
4.318 2.947 0.627 Pm
8.948 -0.518 1.894 Pm
6.903 1.322 3.804 Pm
3.296 1.671 3.699 Dy
7.925 2.599 0.732 Dy
```

Output
Its energy of formation is 0.1206 eV per atom. For the size of the total moment, the calculation gives 0.00 μB/cell. The space group is C2/c, No. 15. Its calculated density is 7.46 g/cm3.



[19]
This record from Alexandria via LeMat-Bulk describes crystalline Ac2PmDyTe5 at its relaxed geometry. The functional is PBE.

```
Ac2PmDyTe5
1.0
-2.609 -3.495 3.364
4.668 -2.847 0.664
2.819 6.776 9.227
Ac Pm Dy Te
2 1 1 5
Cartesian
1.877 -1.133 4.788 Ac
3.001 1.568 8.466 Ac
0.000 0.000 0.000 Pm
1.410 3.388 4.613 Dy
3.744 1.965 4.945 Te
0.105 1.641 6.295 Te
2.120 5.096 6.939 Te
0.699 1.680 2.288 Te
1.030 -3.171 2.014 Te
```

Output
For the size of the total moment, the calculation gives 0.00 μB/cell. The space group is P4/mmm, No. 123. Its calculated density is 6.50 g/cm3. The formation energy from raw total energies is -9.153 eV per formula unit.